Here is a geometry-optimized HfSbP2Pb structure from Alexandria via LeMat-Bulk. Energies are from PBE-GGA.

Properties
total magnetization: 0.000 μB per atom
final energy: -4.367 eV/atom

CIF file:
```
data_HfSbP2Pb
_symmetry_space_group_name_H-M 'P 4/m m m'
_symmetry_Int_Tables_number 123
_symmetry_space_group_name_Hall '-P 4 2'
_cell_length_a 5.0301
_cell_length_b 5.0301
_cell_length_c 5.5770
_cell_angle_alpha 90.00
_cell_angle_beta 90.00
_cell_angle_gamma 90.00
loop_
_atom_site_label
_atom_site_fract_x
_atom_site_fract_y
_atom_site_fract_z
Hf1 0.0000 0.0000 0.0000
Sb1 0.5000 0.5000 0.0000
P1 0.0000 0.5000 0.5000
Pb1 0.5000 0.5000 0.5000
```